Compound: Ta2GaSe2
Source: the Alexandria database
Functional: PBE
Structure: relaxed

```
Ta2GaSe2
1.0
-4.5739 -2.7832 -5.4493
-2.6699 -5.2139 4.9039
-2.2262 1.9572 0.8689
Ga Se Ta
2 4 4
Direct
0.0000 0.0000 0.0000 Ga
0.5000 0.5000 0.0000 Ga
0.3638 0.8638 0.0000 Se
0.8638 0.6362 0.0000 Se
0.6362 0.1362 0.0000 Se
0.1362 0.3638 0.0000 Se
0.1589 0.6589 0.5000 Ta
0.6589 0.8411 0.5000 Ta
0.8411 0.3411 0.5000 Ta
0.3411 0.1589 0.5000 Ta
```

Values from the calculation:
V ... 180.3 Å³ per cell
Distance to the lowest polymorph of the same formula ... 0.289 eV per atom
Energy ... -66.5 eV/cell
ρ ... 10.9 g/cm³
Size of the total moment ... 0.00 μB per cell
DOS(E_F) ... 0.51 states/eV/atom
Formation energy (no corrections) ... 0.4 eV per formula unit